# LiPm2DyTe5

A relaxed LiPm2DyTe5 crystal (PBE, Alexandria).

Output
**Energy**: -4.83 eV/atom
**Magnetic moment**: 0.00 μB/f.u.

abc: 9.6007 9.6007 13.2239
angles: 90.00 90.00 153.57
Fractional positions:
Li 0.0578 0.9422 0.5000
Li 0.9422 0.0578 0.0000
Pm 0.3734 0.6266 0.3378
Pm 0.3941 0.6059 0.7218
Pm 0.6059 0.3941 0.2218
Pm 0.6266 0.3734 0.8378
Dy 0.3023 0.6977 0.0454
Dy 0.6977 0.3023 0.5454
Te 0.0019 0.9981 0.8192
Te 0.1380 0.8620 0.0347
Te 0.1885 0.8115 0.3812
Te 0.2174 0.7826 0.7049
Te 0.4529 0.5471 0.1094
Te 0.5471 0.4529 0.6094
Te 0.7826 0.2174 0.2049
Te 0.8115 0.1885 0.8812
Te 0.8620 0.1380 0.5347
Te 0.9981 0.0019 0.3192